(1)
Below is a relaxed Nd6Ir2RhCl3 crystal, with properties calculated at the PBE-GGA level.

Geometry as CIF:
```
data_Nd6Ir2RhCl3
_symmetry_space_group_name_H-M 'P 1'
_symmetry_Int_Tables_number 1
_cell_length_a 7.136
_cell_length_b 7.136
_cell_length_c 7.921
_cell_angle_alpha 98.62
_cell_angle_beta 98.62
_cell_angle_gamma 120.02
loop_
_symmetry_equiv_pos_as_xyz
'x,y,z'
loop_
_atom_site_label
_atom_site_fract_x
_atom_site_fract_y
_atom_site_fract_z
_atom_site_occupancy
Nd1 0.098 0.432 0.796 1
Nd2 0.234 0.234 0.204 1
Nd3 0.432 0.098 0.796 1
Nd4 0.568 0.902 0.204 1
Nd5 0.766 0.766 0.796 1
Nd6 0.902 0.568 0.204 1
Ir1 0.167 0.833 0.000 1
Ir2 0.833 0.167 0.000 1
Rh1 0.500 0.500 0.000 1
Cl1 0.000 0.000 0.500 1
Cl2 0.333 0.667 0.500 1
Cl3 0.667 0.333 0.500 1
```

Properties
**Raw total energy**: -73.46 eV per cell
**Calculated volume**: 27.8 Å³/atom
**SG**: No. 12



(2)
Below is a relaxed ZnSe2Cl crystal, with properties calculated at the PBE-GGA level.

Geometry as CIF:
```
data_ZnSe2Cl
_symmetry_space_group_name_H-M 'P 1'
_symmetry_Int_Tables_number 1
_cell_length_a 6.103
_cell_length_b 6.103
_cell_length_c 5.372
_cell_angle_alpha 101.07
_cell_angle_beta 101.07
_cell_angle_gamma 32.24
loop_
_symmetry_equiv_pos_as_xyz
'x,y,z'
loop_
_atom_site_label
_atom_site_fract_x
_atom_site_fract_y
_atom_site_fract_z
_atom_site_occupancy
Zn1 0.000 0.000 0.000 1
Se1 0.508 0.508 0.590 1
Se2 0.635 0.635 0.312 1
Cl1 0.347 0.347 0.957 1
```

Properties
**Excess energy over the best structure of this formula in the dataset**: 0.0611 eV/atom
**Raw total energy**: -11.37 eV per cell
**Calculated volume**: 26.1 Å³/atom
**SG**: No. 8



(3)
Below is a relaxed KTaCl2 crystal, with properties calculated at the PBE-GGA level.

Geometry as CIF:
```
data_KTaCl2
_symmetry_space_group_name_H-M 'P 1'
_symmetry_Int_Tables_number 1
_cell_length_a 3.270
_cell_length_b 4.564
_cell_length_c 8.003
_cell_angle_alpha 90.00
_cell_angle_beta 90.00
_cell_angle_gamma 90.00
loop_
_symmetry_equiv_pos_as_xyz
'x,y,z'
loop_
_atom_site_label
_atom_site_fract_x
_atom_site_fract_y
_atom_site_fract_z
_atom_site_occupancy
K1 0.000 0.000 0.000 1
Ta1 0.500 0.000 0.500 1
Cl1 0.000 0.500 0.500 1
Cl2 0.500 0.500 0.000 1
```

Properties
**Excess energy over the best structure of this formula in the dataset**: 0.4337 eV/atom
**Raw total energy**: -16.63 eV per cell
**Calculated volume**: 29.9 Å³/atom
**SG**: No. 47



(4)
Below is a relaxed CaLa2Tl9 crystal, with properties calculated at the PBE-GGA level.

Geometry as CIF:
```
data_CaLa2Tl9
_symmetry_space_group_name_H-M 'P 1'
_symmetry_Int_Tables_number 1
_cell_length_a 4.879
_cell_length_b 4.879
_cell_length_c 14.641
_cell_angle_alpha 90.00
_cell_angle_beta 90.00
_cell_angle_gamma 90.00
loop_
_symmetry_equiv_pos_as_xyz
'x,y,z'
loop_
_atom_site_label
_atom_site_fract_x
_atom_site_fract_y
_atom_site_fract_z
_atom_site_occupancy
Ca1 0.000 0.000 0.000 1
La1 0.000 0.000 0.333 1
La2 0.000 0.000 0.667 1
Tl1 0.000 0.500 0.165 1
Tl2 0.000 0.500 0.500 1
Tl3 0.000 0.500 0.835 1
Tl4 0.500 0.000 0.165 1
Tl5 0.500 0.000 0.500 1
Tl6 0.500 0.000 0.835 1
Tl7 0.500 0.500 0.000 1
Tl8 0.500 0.500 0.333 1
Tl9 0.500 0.500 0.667 1
```

Properties
**Raw total energy**: -36.94 eV per cell
**Calculated volume**: 29.0 Å³/atom
**SG**: No. 123
**Energy of formation from the pure elements**: -0.32 eV per atom



(5)
Below is a relaxed Cu3Ag3P2S8 crystal, with properties calculated at the PBE-GGA level.

Geometry as CIF:
```
data_Cu3Ag3P2S8
_symmetry_space_group_name_H-M 'P 1'
_symmetry_Int_Tables_number 1
_cell_length_a 6.316
_cell_length_b 6.435
_cell_length_c 7.747
_cell_angle_alpha 89.61
_cell_angle_beta 89.67
_cell_angle_gamma 89.62
loop_
_symmetry_equiv_pos_as_xyz
'x,y,z'
loop_
_atom_site_label
_atom_site_fract_x
_atom_site_fract_y
_atom_site_fract_z
_atom_site_occupancy
Cu1 0.000 0.000 0.000 1
Cu2 0.006 0.980 0.496 1
Cu3 0.513 0.628 0.497 1
Ag1 0.511 0.147 0.250 1
Ag2 0.519 0.618 0.991 1
Ag3 0.997 0.437 0.742 1
P1 0.005 0.489 0.252 1
P2 0.492 0.116 0.742 1
S1 0.331 0.505 0.264 1
S2 0.364 0.988 0.966 1
S3 0.371 0.958 0.527 1
S4 0.401 0.425 0.726 1
S5 0.825 0.077 0.746 1
S6 0.874 0.643 0.467 1
S7 0.911 0.174 0.251 1
S8 0.912 0.644 0.027 1
```

Properties
**Raw total energy**: -68.18 eV per cell
**Calculated volume**: 19.7 Å³/atom
**SG**: No. 1



(6)
Below is a relaxed Hf6AlGa5 crystal, with properties calculated at the PBE-GGA level.

Geometry as CIF:
```
data_Hf6AlGa5
_symmetry_space_group_name_H-M 'P 1'
_symmetry_Int_Tables_number 1
_cell_length_a 7.892
_cell_length_b 7.892
_cell_length_c 7.892
_cell_angle_alpha 148.80
_cell_angle_beta 117.85
_cell_angle_gamma 71.19
loop_
_symmetry_equiv_pos_as_xyz
'x,y,z'
loop_
_atom_site_label
_atom_site_fract_x
_atom_site_fract_y
_atom_site_fract_z
_atom_site_occupancy
Hf1 0.079 0.333 0.746 1
Hf2 0.243 0.000 0.243 1
Hf3 0.413 0.667 0.746 1
Hf4 0.587 0.333 0.254 1
Hf5 0.757 0.000 0.757 1
Hf6 0.921 0.667 0.254 1
Al1 0.500 0.500 0.000 1
Ga1 0.000 0.500 0.500 1
Ga2 0.170 0.170 0.000 1
Ga3 0.340 0.840 0.500 1
Ga4 0.660 0.160 0.500 1
Ga5 0.830 0.830 0.000 1
```

Properties
**Raw total energy**: -83.25 eV per cell
**Calculated volume**: 18.5 Å³/atom
**SG**: No. 71
**Energy of formation from the pure elements**: -0.39 eV per atom



(7)
Below is a relaxed Li3Y2Tl4 crystal, with properties calculated at the PBE-GGA level.

Geometry as CIF:
```
data_Li3Y2Tl4
_symmetry_space_group_name_H-M 'P 1'
_symmetry_Int_Tables_number 1
_cell_length_a 5.247
_cell_length_b 5.247
_cell_length_c 9.451
_cell_angle_alpha 100.18
_cell_angle_beta 100.18
_cell_angle_gamma 56.41
loop_
_symmetry_equiv_pos_as_xyz
'x,y,z'
loop_
_atom_site_label
_atom_site_fract_x
_atom_site_fract_y
_atom_site_fract_z
_atom_site_occupancy
Li1 0.000 0.000 0.000 1
Li2 0.383 0.383 0.412 1
Li3 0.617 0.617 0.588 1
Y1 0.289 0.289 0.758 1
Y2 0.711 0.711 0.242 1
Tl1 0.074 0.074 0.373 1
Tl2 0.359 0.359 0.103 1
Tl3 0.641 0.641 0.897 1
Tl4 0.926 0.926 0.627 1
```

Properties
**Excess energy over the best structure of this formula in the dataset**: 0.0000 eV/atom
**Raw total energy**: -30.54 eV per cell
**Calculated volume**: 23.6 Å³/atom
**SG**: No. 12
**Energy of formation from the pure elements**: -0.27 eV per atom



(8)
Below is a relaxed LiSm4Ru2 crystal, with properties calculated at the PBE-GGA level.

Geometry as CIF:
```
data_LiSm4Ru2
_symmetry_space_group_name_H-M 'P 1'
_symmetry_Int_Tables_number 1
_cell_length_a 7.033
_cell_length_b 7.277
_cell_length_c 7.774
_cell_angle_alpha 113.28
_cell_angle_beta 94.89
_cell_angle_gamma 95.52
loop_
_symmetry_equiv_pos_as_xyz
'x,y,z'
loop_
_atom_site_label
_atom_site_fract_x
_atom_site_fract_y
_atom_site_fract_z
_atom_site_occupancy
Li1 0.000 0.000 0.000 1
Li2 0.002 0.490 0.936 1
Sm1 0.182 0.886 0.302 1
Sm2 0.208 0.695 0.709 1
Sm3 0.296 0.373 0.266 1
Sm4 0.340 0.225 0.760 1
Sm5 0.641 0.812 0.163 1
Sm6 0.694 0.579 0.668 1
Sm7 0.768 0.335 0.206 1
Sm8 0.795 0.069 0.659 1
Ru1 0.016 0.252 0.471 1
Ru2 0.464 0.794 0.507 1
Ru3 0.488 0.012 0.965 1
Ru4 0.541 0.185 0.431 1
```

Properties
**Excess energy over the best structure of this formula in the dataset**: 0.1057 eV/atom
**Raw total energy**: -80.08 eV per cell
**Calculated volume**: 25.7 Å³/atom
**SG**: No. 1
**Energy of formation from the pure elements**: -0.10 eV per atom



(9)
Below is a relaxed Ba2CuPbO5 crystal, with properties calculated at the PBE-GGA level.

Geometry as CIF:
```
data_Ba2CuPbO5
_symmetry_space_group_name_H-M 'P 1'
_symmetry_Int_Tables_number 1
_cell_length_a 8.159
_cell_length_b 8.159
_cell_length_c 10.736
_cell_angle_alpha 90.00
_cell_angle_beta 90.00
_cell_angle_gamma 154.90
loop_
_symmetry_equiv_pos_as_xyz
'x,y,z'
loop_
_atom_site_label
_atom_site_fract_x
_atom_site_fract_y
_atom_site_fract_z
_atom_site_occupancy
Ba1 0.118 0.882 0.500 1
Ba2 0.121 0.879 0.112 1
Ba3 0.879 0.121 0.612 1
Ba4 0.882 0.118 0.000 1
Cu1 0.455 0.545 0.261 1
Cu2 0.545 0.455 0.761 1
Pb1 0.213 0.787 0.810 1
Pb2 0.787 0.213 0.310 1
O1 0.065 0.935 0.814 1
O2 0.295 0.705 0.446 1
O3 0.298 0.702 0.172 1
O4 0.348 0.652 0.808 1
O5 0.495 0.505 0.095 1
O6 0.505 0.495 0.595 1
O7 0.652 0.348 0.308 1
O8 0.702 0.298 0.672 1
O9 0.705 0.295 0.946 1
O10 0.935 0.065 0.314 1
```

Properties
**Raw total energy**: -101.39 eV per cell
**Calculated volume**: 16.8 Å³/atom
**SG**: No. 36



(10)
Below is a relaxed CaMgGa crystal, with properties calculated at the PBE-GGA level.

Geometry as CIF:
```
data_CaMgGa
_symmetry_space_group_name_H-M 'P 1'
_symmetry_Int_Tables_number 1
_cell_length_a 6.376
_cell_length_b 6.376
_cell_length_c 6.376
_cell_angle_alpha 147.64
_cell_angle_beta 147.64
_cell_angle_gamma 46.42
loop_
_symmetry_equiv_pos_as_xyz
'x,y,z'
loop_
_atom_site_label
_atom_site_fract_x
_atom_site_fract_y
_atom_site_fract_z
_atom_site_occupancy
Ca1 0.000 0.000 0.000 1
Mg1 0.295 0.295 0.000 1
Ga1 0.670 0.670 0.000 1
```

Properties
**Raw total energy**: -7.34 eV per cell
**Calculated volume**: 24.7 Å³/atom
**SG**: No. 107
**Energy of formation from the pure elements**: -0.24 eV per atom



(11)
Below is a relaxed CaBe2Au crystal, with properties calculated at the PBE-GGA level.

Geometry as CIF:
```
data_CaBe2Au
_symmetry_space_group_name_H-M 'P 1'
_symmetry_Int_Tables_number 1
_cell_length_a 4.405
_cell_length_b 4.405
_cell_length_c 4.405
_cell_angle_alpha 60.00
_cell_angle_beta 60.00
_cell_angle_gamma 60.00
loop_
_symmetry_equiv_pos_as_xyz
'x,y,z'
loop_
_atom_site_label
_atom_site_fract_x
_atom_site_fract_y
_atom_site_fract_z
_atom_site_occupancy
Ca1 0.000 0.000 0.000 1
Be1 0.250 0.250 0.250 1
Be2 0.750 0.750 0.750 1
Au1 0.500 0.500 0.500 1
```

Properties
**Excess energy over the best structure of this formula in the dataset**: 0.3193 eV/atom
**Raw total energy**: -12.56 eV per cell
**Calculated volume**: 15.1 Å³/atom
**SG**: No. 225
**Energy of formation from the pure elements**: 0.04 eV per atom



(12)
Below is a relaxed LiThGaPt2 crystal, with properties calculated at the PBE-GGA level.

Geometry as CIF:
```
data_LiThGaPt2
_symmetry_space_group_name_H-M 'P 1'
_symmetry_Int_Tables_number 1
_cell_length_a 6.921
_cell_length_b 6.921
_cell_length_c 6.921
_cell_angle_alpha 147.40
_cell_angle_beta 147.40
_cell_angle_gamma 46.77
loop_
_symmetry_equiv_pos_as_xyz
'x,y,z'
loop_
_atom_site_label
_atom_site_fract_x
_atom_site_fract_y
_atom_site_fract_z
_atom_site_occupancy
Li1 0.000 0.000 0.000 1
Th1 0.750 0.250 0.500 1
Ga1 0.500 0.500 0.000 1
Pt1 0.141 0.641 0.500 1
Pt2 0.359 0.859 0.500 1
```

Properties
**Raw total energy**: -29.13 eV per cell
**Calculated volume**: 19.2 Å³/atom
**SG**: No. 119
**Energy of formation from the pure elements**: -0.94 eV per atom